# Tb2Si5Os3 GGA-PBE optimized geometry
data_Tb2Si5Os3
_chemical_formula_sum 'Tb8 Si20 Os12'
_cell_length_a 10.7433
_cell_length_b 10.7433
_cell_length_c 5.6929
_cell_angle_alpha 90.00
_cell_angle_beta 90.00
_cell_angle_gamma 90.00
_symmetry_space_group_name_H-M 'P 4/m n c'
_symmetry_Int_Tables_number 128
_symmetry_space_group_name_Hall '-P 4 2n'
loop_
_atom_site_label
_atom_site_fract_x
_atom_site_fract_y
_atom_site_fract_z
Tb1 0.0707 0.2354 0.0000
Si1 0.0000 0.0000 0.2548
Si2 0.0264 0.3202 0.5000
Si3 0.1729 0.6729 0.2500
Os1 0.0000 0.5000 0.2500
Os2 0.1255 0.8537 0.5000
# DFT total energy ... -7.744 eV/atom

# TbSi2TcOs GGA-PBE optimized geometry
data_TbSi2TcOs
_chemical_formula_sum 'Tb2 Si4 Tc2 Os2'
_cell_length_a 4.1760
_cell_length_b 4.1760
_cell_length_c 9.8114
_cell_angle_alpha 90.00
_cell_angle_beta 90.00
_cell_angle_gamma 90.00
_symmetry_space_group_name_H-M 'I -4 m 2'
_symmetry_Int_Tables_number 119
_symmetry_space_group_name_Hall 'I -4 -2'
loop_
_atom_site_label
_atom_site_fract_x
_atom_site_fract_y
_atom_site_fract_z
Tb1 0.0000 0.0000 0.0000
Si1 0.0000 0.0000 0.3731
Tc1 0.0000 0.5000 0.2500
Os1 0.0000 0.5000 0.7500
# DFT total energy ... -8.087 eV/atom